(1)
# TeMo2Ir | the Alexandria database | PBE-GGA | relaxed
data_TeMo2Ir
_chemical_formula_sum 'Te1 Mo2 Ir1'
_cell_length_a 3.105
_cell_length_b 3.105
_cell_length_c 6.925
_cell_angle_alpha 90.00
_cell_angle_beta 90.00
_cell_angle_gamma 90.00
_symmetry_space_group_name_H-M 'P 4/m m m'
_symmetry_Int_Tables_number 123
_symmetry_space_group_name_Hall '-P 4 2'
loop_
_atom_site_label
_atom_site_type_symbol
_atom_site_fract_x
_atom_site_fract_y
_atom_site_fract_z
Te1 Te 0.000 0.000 0.000
Mo1 Mo 0.500 0.500 0.252
Ir1 Ir 0.000 0.000 0.500
# VASP energy = -32.63 eV for the cell shown
# Magnetic moment = 0.00 μB per cell
# E above lowest polymorph = 8 meV/atom
# Formation energy without anion corrections = 0.26 eV/atom
# Crystal system = tetragonal

=====

(2)
# TeMoIr4 | the Alexandria database | PBE-GGA | relaxed
data_TeMoIr4
_chemical_formula_sum 'Te4 Mo4 Ir16'
_cell_length_a 7.410
_cell_length_b 7.410
_cell_length_c 7.410
_cell_angle_alpha 90.00
_cell_angle_beta 90.00
_cell_angle_gamma 90.00
_symmetry_space_group_name_H-M 'F -4 3 m'
_symmetry_Int_Tables_number 216
_symmetry_space_group_name_Hall 'F -4 2 3'
loop_
_atom_site_label
_atom_site_type_symbol
_atom_site_fract_x
_atom_site_fract_y
_atom_site_fract_z
Te1 Te 0.000 0.000 0.000
Mo1 Mo 0.250 0.250 0.750
Ir1 Ir 0.124 0.124 0.376
# VASP energy = -183.74 eV for the cell shown
# Magnetic moment = 0.00 μB per cell
# Formation energy without anion corrections = 0.58 eV/atom
# Crystal system = cubic

=====

Q: Look up the magnetic moment of the second one.
A: 0.00 μB per cell